(1)
Material: NdLu2Zr
Method: DFT, PBE
State: optimized geometry

formation energy: 0.381 eV per formula unit
polymorph energy (0 for the lowest one): 22.2 meV/atom
space-group type: P4/mmm
VASP energy: -5.494 eV/atom

a = 4.8249 Å, b = 4.8616 Å, c = 4.8616 Å
α = 90.00°, β = 90.00°, γ = 90.00°
With the nearest neighbours (Å) after each atom.
Element x y z (fractional)
Lu1 0.0000 0.0000 0.5000  4 Nd 3.42, 4 Zr 3.42, 4 Lu 3.44
Lu2 0.0000 0.5000 0.0000  4 Zr 3.42, 4 Nd 3.42, 4 Lu 3.44
Nd1 0.5000 0.5000 0.5000  8 Lu 3.42, 4 Zr 3.44
Zr1 0.5000 0.0000 0.0000  8 Lu 3.42, 4 Nd 3.44

***

(2)
Material: NaCa4Ni
Method: DFT, PBE
State: optimized geometry

formation energy: 0.319 eV per formula unit
space-group type: C2/c
VASP energy: -2.465 eV/atom

a = 6.7987 Å, b = 9.3712 Å, c = 9.0649 Å
α = 115.79°, β = 105.21°, γ = 102.59°
With the nearest neighbours (Å) after each atom.
Element x y z (fractional)
Ca1 0.0786 0.8841 0.1140  2 Ni 2.72-2.80
Ca2 0.4646 0.7700 0.8860  2 Ni 2.72-2.80
Ca3 0.8125 0.6417 0.5879  1 Ni 2.71
Ca4 0.5354 0.2300 0.1140  2 Ni 2.72-2.80
Ca5 0.1875 0.3583 0.4121  1 Ni 2.71
Ca6 0.2754 0.9461 0.5879  1 Ni 2.71
Ca7 0.9214 0.1159 0.8860  2 Ni 2.72-2.80
Ca8 0.7246 0.0539 0.4121  1 Ni 2.71
Na1 0.3385 0.5885 0.1769  8 Ca 3.75-3.99
Na2 0.6615 0.4115 0.8231  8 Ca 3.75-3.99
Ni1 0.8255 0.0755 0.1510  6 Ca 2.71-2.80
Ni2 0.1745 0.9245 0.8490  6 Ca 2.71-2.80

***

(3)
Material: LiPAuS4
Method: DFT, PBE
State: optimized geometry

formation energy (no corrections): -0.265 eV per atom
space-group type: Cmcm
VASP energy: -4.138 eV/atom

a = 6.5864 Å, b = 6.5864 Å, c = 7.3605 Å
α = 90.00°, β = 90.00°, γ = 116.41°
With the nearest neighbours (Å) after each atom.
Element x y z (fractional)
S1 0.7406 0.8038 0.7500  1 P 2.09
S2 0.2635 0.7365 0.0285  1 P 2.04
S3 0.8038 0.7406 0.2500  1 P 2.09
S4 0.2635 0.7365 0.4715  1 P 2.04
S5 0.1962 0.2594 0.7500  1 P 2.09
S6 0.7365 0.2635 0.9715  1 P 2.04
S7 0.2594 0.1962 0.2500  1 P 2.09
S8 0.7365 0.2635 0.5285  1 P 2.04
Li1 0.5000 0.5000 0.5000  6 S 2.66
Li2 0.5000 0.5000 0.0000  6 S 2.66
P1 0.1534 0.8466 0.2500  4 S 2.04-2.09
P2 0.8466 0.1534 0.7500  4 S 2.04-2.09
Au1 0.8553 0.1447 0.2500  4 S 2.44-2.53
Au2 0.1447 0.8553 0.7500  4 S 2.44-2.53